Run P
Entry from Alexandria: an optimized crystal structure of TmHfZn (PBE).

Summary:
space-group type: No. 107
magnetization: 0.0 Bohr magnetons per cell

Cell: 6.4933 6.4933 6.4933 Å, 150.69 150.69 41.94°
Fractional positions:
Tm (0.0000, 0.0000, 0.0000)
Hf (0.3138, 0.3138, 0.0000)
Zn (0.6695, 0.6695, 0.0000)

***

Run Q
Entry from Alexandria: an optimized crystal structure of TmHfZn (PBE).

Summary:
space-group type: No. 156
magnetization: 0.0 Bohr magnetons per cell

Cell: 4.8285 4.8285 3.3224 Å, 90.00 90.00 120.00°
Fractional positions:
Tm (0.0000, 0.0000, 0.0000)
Hf (0.3333, 0.6667, 0.5009)
Zn (0.6667, 0.3333, 0.4971)

***

run P is the most stable structure; the next one sits 19.3 kJ/mol of atoms above it.